## SiGe3P4 (PBE)

Data for a geometry-optimized SiGe3P4 structure.

Values from the calculation:
Space group ... Pmn2_1, No. 31
Total energy ... -40.57 eV per formula unit
N(E_F) ... 2.52 states/eV/f.u.
Formation energy (no corrections) ... 4.2 kJ/mol of atoms

Lattice parameters (Å, degrees): 9.4132 5.8642 5.7410 90.00 90.00 90.00
Positions (direct):
Si1 0.0000 0.1876 0.0000
Si2 0.5000 0.8124 0.5000
Ge1 0.0000 0.7979 0.5203
Ge2 0.2492 0.6980 0.0096
Ge3 0.2508 0.3020 0.5096
Ge4 0.5000 0.2021 0.0203
Ge5 0.7492 0.3020 0.5096
Ge6 0.7508 0.6980 0.0096
P1 0.0000 0.2111 0.6013
P2 0.0000 0.8113 0.0902
P3 0.2296 0.2966 0.0900
P4 0.2704 0.7034 0.5900
P5 0.5000 0.1887 0.5902
P6 0.5000 0.7889 0.1013
P7 0.7296 0.7034 0.5900
P8 0.7704 0.2966 0.0900

## Pa3P4Rh2 (PBE)

Data for a geometry-optimized Pa3P4Rh2 structure.

Values from the calculation:
Space group ... C2/m, No. 12
Total energy ... -74.81 eV per formula unit
N(E_F) ... 7.77 states/eV/f.u.

Lattice parameters (Å, degrees): 6.3645 6.3645 8.3353 120.47 120.47 35.93
Positions (direct):
Pa1 0.0000 0.0000 0.0000
Pa2 0.3674 0.3674 0.2880
Pa3 0.6326 0.6326 0.7120
P1 0.0774 0.0774 0.3908
P2 0.3165 0.3165 0.9116
P3 0.6835 0.6835 0.0884
P4 0.9226 0.9226 0.6092
Rh1 0.3242 0.3242 0.6344
Rh2 0.6758 0.6758 0.3656

## ZrScGaMo (PBE)

Data for a geometry-optimized ZrScGaMo structure.

Values from the calculation:
Space group ... F-43m, No. 216
Total energy ... -29.70 eV per formula unit
N(E_F) ... 2.19 states/eV/f.u.

Lattice parameters (Å, degrees): 4.7320 4.7320 4.7320 60.00 60.00 60.00
Positions (direct):
Zr1 0.0000 0.0000 0.0000
Sc1 0.5000 0.5000 0.5000
Ga1 0.2500 0.2500 0.2500
Mo1 0.7500 0.7500 0.7500

Q: What is the N(E_F) in the first record?
A: 2.52 states/eV/f.u.

Q: Look up the total energy of the first one.
A: -40.57 eV per formula unit

Q: Which formula does entry 3 have?
A: ZrScGaMo

Q: Which value of total energy does entry 1 give?
A: -40.57 eV per formula unit